Record 1
Entry from the Alexandria database: crystalline BC at its relaxed geometry (PBE).

Results
Size of the total moment   0.00 μB per atom
Calculated density   2800 kg/m³
ΔH_f (0 K)   0.3452 eV per atom
E   -7.605 eV/atom

Unit cell a=3.701 b=4.594 c=5.414 alpha=106.00 beta=93.62 gamma=111.06
Sites, in units of the cell vectors:
B1 0.000 0.000 0.000
B2 0.028 0.659 0.458
B3 0.358 0.628 0.691
B4 0.395 0.670 0.100
B5 0.660 0.363 0.846
B6 0.713 0.983 0.671
C1 0.003 0.994 0.469
C2 0.069 0.663 0.894
C3 0.412 0.277 0.554
C4 0.415 0.331 0.085
C5 0.650 0.308 0.325
C6 0.755 0.004 0.238

---

Record 2
Entry from the Alexandria database: crystalline B7C5 at its relaxed geometry (PBE).

Results
Size of the total moment   0.00 μB per atom
Calculated density   2570 kg/m³
ΔH_f (0 K)   0.4120 eV per atom
E   -7.326 eV/atom

Unit cell a=7.401 b=7.401 c=4.724 alpha=106.25 beta=106.25 gamma=20.70
Sites, in units of the cell vectors:
B1 0.000 0.000 0.000
B2 0.138 0.138 0.785
B3 0.319 0.319 0.878
B4 0.430 0.430 0.746
B5 0.511 0.511 0.477
B6 0.767 0.767 0.441
B7 0.874 0.874 0.091
C1 0.118 0.118 0.108
C2 0.318 0.318 0.555
C3 0.628 0.628 0.607
C4 0.653 0.653 0.294
C5 0.968 0.968 0.321